VASP calculation (GGA-PBE) on crystalline LiHo6Zn5 at its relaxed geometry.

Cell lengths 5.027, 7.163, 7.954 Å; angles 90.00, 71.58, 90.00 degrees
Fractional positions:
Zn1 0.666 0.500 0.669
Zn2 0.339 0.000 0.322
Zn3 0.000 0.500 0.000
Zn4 0.661 0.000 0.678
Zn5 0.334 0.500 0.331
Ho1 0.831 0.748 0.339
Ho2 0.831 0.252 0.339
Ho3 0.500 0.257 0.000
Ho4 0.500 0.743 0.000
Ho5 0.169 0.748 0.661
Ho6 0.169 0.252 0.661
Li1 0.000 0.000 0.000

Summary:
Density ... 8.09 g/cm3
VASP energy ... -3.26 eV per atom
Energy relative to the elements ... -0.279 eV per atom
Crystal system ... orthorhombic
Magnetic moment ... 0.001 μB per cell


VASP calculation (GGA-PBE) on crystalline LiHoZn10 at its relaxed geometry.

Cell lengths 4.302, 5.143, 9.093 Å; angles 90.00, 90.00, 90.00 degrees
Fractional positions:
Li1 0.000 0.500 0.500
Ho1 0.000 0.000 0.000
Zn1 0.000 0.000 0.345
Zn2 0.000 0.500 0.814
Zn3 0.000 0.500 0.186
Zn4 0.000 0.000 0.655
Zn5 0.500 0.000 0.500
Zn6 0.500 0.500 0.000
Zn7 0.500 0.243 0.241
Zn8 0.500 0.757 0.759
Zn9 0.500 0.757 0.241
Zn10 0.500 0.243 0.759

Summary:
Density ... 6.82 g/cm3
VASP energy ... -1.77 eV per atom
Energy relative to the elements ... -0.167 eV per atom
Crystal system ... orthorhombic
Magnetic moment ... 0.000 μB per cell